Entry 1:
The following is a GGA-PBE calculation of a geometry-optimized Ta2AlNi structure, from Alexandria via LeMat-Bulk.

Output
Space-group type = C2/m, No. 12
DOS at the Fermi energy = 3.562 states/eV/f.u.

Unit cell a=6.2551 b=4.8295 c=2.8455 alpha=89.91 beta=63.10 gamma=120.95
With the nearest neighbours (Å) after each atom.
Fractional coordinates of all 4 atoms:
1 Al 0.0000 0.5000 0.5000  2 Ni 2.79, 8 Ta 2.80, 2 Al 2.85
2 Ta 0.0000 0.0000 0.0000  4 Ta 2.79-2.85, 4 Al 2.80, 4 Ni 2.80
3 Ta 0.5000 0.0000 0.5000  4 Ta 2.79-2.85, 4 Ni 2.80, 4 Al 2.80
4 Ni 0.5000 0.5000 0.0000  2 Al 2.79, 8 Ta 2.80, 2 Ni 2.85

Entry 2:
The following is a GGA-PBE calculation of a geometry-optimized Ta2AlNi structure, from Alexandria via LeMat-Bulk.

Output
Space-group type = Pm, No. 6
DOS at the Fermi energy = 3.484 states/eV/f.u.

Unit cell a=4.3863 b=2.8441 c=5.0511 alpha=82.67 beta=90.00 gamma=90.00
With the nearest neighbours (Å) after each atom.
Fractional coordinates of all 4 atoms:
1 Ta 0.5000 0.2214 0.2898  4 Al 2.73-2.84, 3 Ni 2.74-2.80, 4 Ta 2.84-2.85
2 Ta 0.0000 0.0132 0.9629  3 Al 2.69-2.83, 4 Ni 2.70-2.90, 4 Ta 2.84-2.85
3 Ni 0.5000 0.6263 0.7676  2 Al 2.63, 7 Ta 2.70-2.90, 2 Ni 2.84
4 Al 0.0000 0.6391 0.4797  2 Ni 2.63, 7 Ta 2.69-2.84, 2 Al 2.84

Entry 3:
The following is a GGA-PBE calculation of a geometry-optimized TaAl2Ni structure, from Alexandria via LeMat-Bulk.

Output
Space-group type = F-43m, No. 216
DOS at the Fermi energy = 4.974 states/eV/f.u.

Unit cell a=4.3864 b=4.3864 c=4.3864 alpha=60.00 beta=60.00 gamma=60.00
With the nearest neighbours (Å) after each atom.
Fractional coordinates of all 4 atoms:
1 Ni 0.5000 0.5000 0.5000  4 Ta 2.69, 4 Al 2.69
2 Al 0.2500 0.2500 0.2500  4 Ni 2.69, 4 Al 2.69
3 Al 0.0000 0.0000 0.0000  4 Al 2.69, 4 Ta 2.69
4 Ta 0.7500 0.7500 0.7500  4 Ni 2.69, 4 Al 2.69

Entry 4:
The following is a GGA-PBE calculation of a geometry-optimized TaAl2Ni structure, from Alexandria via LeMat-Bulk.

Output
Space-group type = Cm, No. 8
DOS at the Fermi energy = 3.163 states/eV/f.u.

Unit cell a=5.3411 b=5.3411 c=4.3133 alpha=66.19 beta=66.19 gamma=32.43
With the nearest neighbours (Å) after each atom.
Fractional coordinates of all 4 atoms:
1 Ni 0.4910 0.4910 0.5097  6 Al 2.45-2.62, 2 Ta 2.67
2 Al 0.7828 0.7828 0.7168  2 Ni 2.45, 4 Ta 2.67
3 Al 0.9978 0.9978 0.0025  4 Ni 2.62, 2 Ta 2.92
4 Ta 0.2284 0.2284 0.2711  2 Ni 2.67, 6 Al 2.67-2.92, 2 Ta 2.98

Entry 5:
The following is a GGA-PBE calculation of a geometry-optimized Ta2AlNi structure, from Alexandria via LeMat-Bulk.

Output
Space-group type = I-42d, No. 122
DOS at the Fermi energy = 3.287 states/eV/f.u.

Unit cell a=3.7760 b=3.7760 c=10.0164 alpha=79.14 beta=79.14 gamma=90.00
With the nearest neighbours (Å) after each atom.
Fractional coordinates of all 8 atoms:
1 Al 0.2500 0.7500 0.5000  4 Ni 2.67, 4 Ta 2.76
2 Al 0.5000 0.5000 0.0000  4 Ni 2.67, 4 Ta 2.76
3 Ta 0.6230 0.1250 0.2500  4 Ta 2.66-2.68, 2 Al 2.76, 2 Ni 2.76
4 Ta 0.8750 0.8730 0.7500  4 Ta 2.66-2.68, 2 Al 2.76, 2 Ni 2.76
5 Ta 0.3750 0.3770 0.7500  4 Ta 2.66-2.68, 2 Al 2.76, 2 Ni 2.76
6 Ta 0.1270 0.6250 0.2500  4 Ta 2.66-2.68, 2 Al 2.76, 2 Ni 2.76
7 Ni 0.7500 0.2500 0.5000  4 Al 2.67, 4 Ta 2.76
8 Ni 0.0000 0.0000 0.0000  4 Al 2.67, 4 Ta 2.76

Entry 6:
The following is a GGA-PBE calculation of a geometry-optimized TaAl2Ni structure, from Alexandria via LeMat-Bulk.

Output
Space-group type = R-3m, No. 166
DOS at the Fermi energy = 4.251 states/eV/f.u.

Unit cell a=8.7371 b=8.7371 c=8.7371 alpha=18.81 beta=18.81 gamma=18.81
With the nearest neighbours (Å) after each atom.
Fractional coordinates of all 4 atoms:
1 Ta 0.7500 0.7500 0.7500  6 Ta 2.86, 6 Al 2.90
2 Al 0.5095 0.5095 0.5095  3 Ni 2.52
3 Al 0.9905 0.9905 0.9905  3 Ni 2.52
4 Ni 0.2500 0.2500 0.2500  6 Al 2.52

Entry 7:
The following is a GGA-PBE calculation of a geometry-optimized TaAl2Ni structure, from Alexandria via LeMat-Bulk.

Output
Space-group type = R3m, No. 160
DOS at the Fermi energy = 3.175 states/eV/f.u.

Unit cell a=8.8486 b=8.8486 c=8.8486 alpha=18.59 beta=18.59 gamma=18.59
With the nearest neighbours (Å) after each atom.
Fractional coordinates of all 4 atoms:
1 Al 0.9984 0.9984 0.9984  9 Al 2.85-2.86, 3 Ta 2.88
2 Al 0.2425 0.2425 0.2425  3 Ni 2.51
3 Ni 0.5032 0.5032 0.5032  3 Al 2.51, 3 Ta 2.68
4 Ta 0.7558 0.7558 0.7558  3 Ni 2.68, 6 Ta 2.86, 3 Al 2.88

Entry 8:
The following is a GGA-PBE calculation of a geometry-optimized Ta2AlNi structure, from Alexandria via LeMat-Bulk.

Output
Space-group type = P2/m, No. 10
DOS at the Fermi energy = 4.082 states/eV/f.u.

Unit cell a=3.9349 b=2.8486 c=6.2282 alpha=63.37 beta=90.00 gamma=90.00
With the nearest neighbours (Å) after each atom.
Fractional coordinates of all 4 atoms:
1 Ta 0.0000 0.0006 0.9943  4 Ta 2.72-2.85, 4 Ni 2.77-2.80, 4 Al 2.82
2 Ta 0.0000 0.4994 0.5057  4 Ta 2.72-2.85, 4 Ni 2.77-2.80, 4 Al 2.82
3 Ni 0.5000 0.7500 0.7500  8 Ta 2.77-2.80, 2 Al 2.78, 2 Ni 2.85
4 Al 0.5000 0.2500 0.2500  2 Ni 2.78, 8 Ta 2.82, 2 Al 2.85

Entry 9:
The following is a GGA-PBE calculation of a geometry-optimized Ta2AlNi structure, from Alexandria via LeMat-Bulk.

Output
Space-group type = P4mm, No. 99
DOS at the Fermi energy = 2.373 states/eV/f.u.

Unit cell a=2.8422 b=2.8422 c=7.6307 alpha=90.00 beta=90.00 gamma=90.00
With the nearest neighbours (Å) after each atom.
Fractional coordinates of all 4 atoms:
1 Ta 0.5000 0.5000 0.2712  8 Ta 2.84-3.08, 4 Al 2.86
2 Ta 0.0000 0.0000 0.9650  4 Ni 2.71, 4 Ta 2.84
3 Al 0.0000 0.0000 0.5379  4 Ni 2.47
4 Ni 0.5000 0.5000 0.7260  4 Al 2.47, 4 Ta 2.71

Entry 10:
The following is a GGA-PBE calculation of a geometry-optimized TaAl2Ni structure, from Alexandria via LeMat-Bulk.

Output
Space-group type = C2/m, No. 12
DOS at the Fermi energy = 3.256 states/eV/f.u.

Unit cell a=5.2420 b=5.2420 c=4.7132 alpha=63.47 beta=63.47 gamma=31.23
With the nearest neighbours (Å) after each atom.
Fractional coordinates of all 4 atoms:
1 Al 0.4736 0.4736 0.5262  2 Ni 2.45
2 Al 0.0264 0.0264 0.9738  2 Ni 2.45
3 Ni 0.7500 0.7500 0.7500  4 Al 2.45
4 Ta 0.2500 0.2500 0.2500  4 Ni 2.75, 2 Ta 2.82, 4 Al 2.85

Entry 11:
The following is a GGA-PBE calculation of a geometry-optimized TaAl2Ni structure, from Alexandria via LeMat-Bulk.

Output
Space-group type = Cmmm, No. 65
DOS at the Fermi energy = 3.853 states/eV/f.u.

Unit cell a=6.1819 b=4.8249 c=2.7847 alpha=89.95 beta=63.32 gamma=120.73
With the nearest neighbours (Å) after each atom.
Fractional coordinates of all 4 atoms:
1 Al 0.0000 0.0000 0.0000  4 Al 2.76-2.78, 4 Ta 2.78-2.79, 4 Ni 2.78-2.79
2 Al 0.5000 0.0000 0.5000  4 Al 2.76-2.78, 4 Ni 2.78-2.79, 4 Ta 2.78-2.79
3 Ni 0.0000 0.5000 0.5000  2 Ta 2.76, 8 Al 2.78-2.79, 2 Ni 2.78
4 Ta 0.5000 0.5000 0.0000  2 Ni 2.76, 8 Al 2.78-2.79, 2 Ta 2.78

Entry 12:
The following is a GGA-PBE calculation of a geometry-optimized TaAl2Ni structure, from Alexandria via LeMat-Bulk.

Output
Space-group type = I4/mmm, No. 139
DOS at the Fermi energy = 3.305 states/eV/f.u.

Unit cell a=4.7978 b=4.7978 c=4.7978 alpha=132.18 beta=132.18 gamma=69.94
With the nearest neighbours (Å) after each atom.
Fractional coordinates of all 4 atoms:
1 Ni 0.2500 0.7500 0.5000  4 Ta 2.75, 8 Al 2.77
2 Al 0.5000 0.5000 0.0000  4 Al 2.75, 4 Ni 2.77, 4 Ta 2.77
3 Al 0.0000 0.0000 0.0000  4 Al 2.75, 4 Ta 2.77, 4 Ni 2.77
4 Ta 0.7500 0.2500 0.5000  4 Ni 2.75, 8 Al 2.77

Results for total energy: -8.4693 -8.4608 -6.3165 -6.4959 -7.8726 -6.4774 -6.4118 -8.4843 -8.5906 -6.5198 -6.4814 -6.3919 (in eV/atom, following the order of the records).